## Na7AlH2C4O12F4 (PBEsol)

Data for Na7AlH2C4O12F4 after structural relaxation.

Density   2.6 Mg/m³
Calculated total energy   -6.329 eV/atom
Size of the total moment   0.00 μB per formula unit

```
data_Na7AlH2C4O12F4
_chemical_formula_sum 'Na7 Al1 H2 C4 O12 F4'
_symmetry_space_group_name_H-M 'P -1'
_symmetry_Int_Tables_number 2
_cell_length_a 6.456
_cell_length_b 6.644
_cell_length_c 8.792
_cell_angle_alpha 80.65
_cell_angle_beta 82.54
_cell_angle_gamma 61.85
loop_
_symmetry_equiv_pos_as_xyz
'x,y,z'
'-x,-y,-z'
loop_
_atom_site_label
_atom_site_fract_x
_atom_site_fract_y
_atom_site_fract_z
Na1 0.000 0.000 0.000
Na2 0.000 0.500 0.000
Na3 0.340 0.380 0.643
Na4 0.340 0.886 0.642
Na5 0.500 0.500 0.000
Al1 0.500 0.000 0.000
H1 0.003 0.740 0.500
C1 0.175 0.615 0.301
C2 0.188 0.111 0.286
O1 0.024 0.759 0.657
O2 0.027 0.264 0.616
O3 0.160 0.634 0.156
O4 0.216 0.110 0.136
O5 0.358 0.993 0.374
O6 0.361 0.493 0.373
F1 0.360 0.891 0.892
F2 0.366 0.285 0.893
```